# Er2Si3Ir5 (PBE-GGA, optimized geometry)
# Mass density   14.29 g/cm3
# Raw formation energy   -868 meV per atom
data_Er2Si3Ir5
_space_group_name_H-M_alt 'C m c 21'
_space_group_IT_number 36
_cell_length_a 4.0685
_cell_length_b 23.7493
_cell_length_c 6.6382
_cell_angle_alpha 90.00
_cell_angle_beta 90.00
_cell_angle_gamma 90.00
loop_
_space_group_symop_operation_xyz
'x,y,z'
'-x,-y,z+1/2'
'-x,y,z'
'x,-y,z+1/2'
'x+1/2,y+1/2,z'
'-x+1/2,-y+1/2,z+1/2'
'-x+1/2,y+1/2,z'
'x+1/2,-y+1/2,z+1/2'
loop_
_atom_site_label
_atom_site_fract_x
_atom_site_fract_y
_atom_site_fract_z
Er1 0.0000 0.0225 0.0000
Er2 0.0000 0.3247 0.9837
Si1 0.0000 0.1105 0.2730
Si2 0.0000 0.2675 0.4719
Si3 0.0000 0.4546 0.2042
Ir1 0.0000 0.0984 0.6519
Ir2 0.0000 0.2062 0.1746
Ir3 0.0000 0.2089 0.7686
Ir4 0.0000 0.3686 0.4548
Ir5 0.0000 0.4436 0.8371

---

# Er2Si3Ir (PBE-GGA, optimized geometry)
# Mass density   9.25 g/cm3
# Offset from the most stable computed form   96 meV/atom
# Raw formation energy   -811 meV per atom
data_Er2Si3Ir
_space_group_name_H-M_alt 'C 1 m 1'
_space_group_IT_number 8
_cell_length_a 10.1279
_cell_length_b 4.2127
_cell_length_c 6.7817
_cell_angle_alpha 90.00
_cell_angle_beta 130.69
_cell_angle_gamma 90.00
loop_
_space_group_symop_operation_xyz
'x,y,z'
'x,-y,z'
'x+1/2,y+1/2,z'
'x+1/2,-y+1/2,z'
loop_
_atom_site_label
_atom_site_fract_x
_atom_site_fract_y
_atom_site_fract_z
Er1 0.0000 0.0000 0.0000
Er2 0.1160 0.0000 0.6060
Si1 0.2377 0.5000 0.4126
Si2 0.3808 0.0000 0.2086
Si3 0.4294 0.0000 0.6444
Ir1 0.2303 0.5000 0.0399

---

# Er2Si7Ir12 (PBE-GGA, optimized geometry)
# Mass density   14.81 g/cm3
# Raw formation energy   -834 meV per atom
data_Er2Si7Ir12
_space_group_name_H-M_alt 'P -6'
_space_group_IT_number 174
_cell_length_a 9.7424
_cell_length_b 9.7424
_cell_length_c 3.8695
_cell_angle_alpha 90.00
_cell_angle_beta 90.00
_cell_angle_gamma 120.00
loop_
_space_group_symop_operation_xyz
'x,y,z'
'-x+y,-x,-z'
'-y,x-y,z'
'x,y,-z'
'-x+y,-x,z'
'-y,x-y,-z'
loop_
_atom_site_label
_atom_site_fract_x
_atom_site_fract_y
_atom_site_fract_z
Er1 0.0000 0.0000 0.0000
Er2 0.3333 0.6667 0.5000
Si1 0.0728 0.4500 0.0000
Si2 0.2604 0.2181 0.5000
Si3 0.6667 0.3333 0.0000
Ir1 0.0498 0.2730 0.5000
Ir2 0.1111 0.7118 0.0000
Ir3 0.3948 0.1821 0.0000
Ir4 0.5276 0.4438 0.5000

---

Number 1 is which compound?
Er2Si3Ir5

---

Which value of mass density does entry 2 give?
9.25 g/cm3